The following is a DFT calculation (PBE-GGA) of a relaxed Tm4As3 crystal.

CIF file:
```
data_Tm4As3
_symmetry_space_group_name_H-M 'R -3 m'
_symmetry_Int_Tables_number 166
_symmetry_space_group_name_Hall '-R 3 2"'
_cell_length_a 4.0177
_cell_length_b 4.0177
_cell_length_c 38.7006
_cell_angle_alpha 90.00
_cell_angle_beta 90.00
_cell_angle_gamma 120.00
loop_
_atom_site_label
_atom_site_fract_x
_atom_site_fract_y
_atom_site_fract_z
Tm1 0.0000 0.0000 0.1270
Tm2 0.0000 0.0000 0.2912
As1 0.0000 0.0000 0.0000
As2 0.0000 0.0000 0.4198
```

DFT total energy = -0.2116 hartree per atom